# 1
Entry from Alexandria via LeMat-Bulk: a relaxed structure of AsWBr (PBE-GGA).

extended XYZ file:
```
3
Lattice="0.0000 3.1774 3.1774 3.1774 0.0000 3.1774 3.1774 3.1774 0.0000" Properties=species:S:1:pos:R:3 pbc="T T T"
As 0.0000 0.0000 0.0000
W 1.5887 1.5887 1.5887
Br 3.1774 3.1774 3.1774
```

Results
* energy above the most stable polymorph in this dataset: 441 meV per atom
* crystal system: cubic
* formation energy without anion corrections: 0.645 eV/atom
* E: -17.34 eV for the cell shown



# 2
Entry from Alexandria via LeMat-Bulk: a relaxed structure of AsW2Br (PBE-GGA).

extended XYZ file:
```
4
Lattice="2.8895 0.0000 0.0000 0.0000 4.3975 0.0000 0.0000 0.0000 5.6514" Properties=species:S:1:pos:R:3 pbc="T T T"
As 0.0000 0.0000 0.0000
W 0.0000 2.1988 2.8257
W 1.4448 2.1988 0.0000
Br 1.4448 0.0000 2.8257
```

Results
* energy above the most stable polymorph in this dataset: 998 meV per atom
* crystal system: orthorhombic
* formation energy without anion corrections: 1.144 eV/atom
* E: -27.65 eV for the cell shown